Entry 1:
# BaMn2Cu

An optimized crystal structure of BaMn2Cu (PBE, Alexandria via LeMat-Bulk).

a b c (Å): 5.6682 5.6682 5.6682
angles (deg): 136.04 136.04 63.92
Last column: nearest neighbours and their distance in Å.
Element x y z (fractional)
Ba1 0.0000 0.0000 0.0000  4 Cu 3.00, 8 Mn 3.21
Mn1 0.2500 0.7500 0.5000  4 Mn 3.00, 4 Ba 3.21, 4 Cu 3.21
Mn2 0.7500 0.2500 0.5000  4 Mn 3.00, 4 Ba 3.21, 4 Cu 3.21
Cu1 0.5000 0.5000 0.0000  4 Ba 3.00, 8 Mn 3.21

* volume: 21.647 Å³ per atom
* M_tot: 7.4 μB per formula unit
* symmetry: I4/mmm (139)
* ΔH_f (0 K): 865 meV per atom
* calculated total energy: -5.225 eV per atom

Entry 2:
# BaMnCu

An optimized crystal structure of BaMnCu (PBE, Alexandria via LeMat-Bulk).

a b c (Å): 6.3555 6.3555 6.3555
angles (deg): 147.56 147.56 46.54
Last column: nearest neighbours and their distance in Å.
Element x y z (fractional)
Ba1 0.0000 0.0000 0.0000  1 Mn 3.22, 5 Cu 3.36-3.53, 4 Ba 3.55
Mn1 0.7245 0.7245 0.0000  4 Cu 2.62
Cu1 0.2880 0.2880 0.0000  4 Mn 2.62

* polymorph energy (0 for the lowest one): 58 meV/atom
* volume: 24.539 Å³ per atom
* M_tot: 4.1 μB per formula unit
* symmetry: I4mm (107)
* ΔH_f (0 K): 414 meV per atom
* calculated total energy: -4.649 eV per atom

Entry 3:
# BaMnCu2

An optimized crystal structure of BaMnCu2 (PBE, Alexandria via LeMat-Bulk).

a b c (Å): 5.0572 5.0572 3.3200
angles (deg): 90.00 90.00 90.00
Last column: nearest neighbours and their distance in Å.
Element x y z (fractional)
Ba1 0.0000 0.0000 0.0000  8 Cu 3.02, 2 Ba 3.32
Mn1 0.5000 0.5000 0.0000  8 Cu 3.02, 2 Mn 3.32
Cu1 0.0000 0.5000 0.5000  4 Ba 3.02, 4 Mn 3.02, 2 Cu 3.32
Cu2 0.5000 0.0000 0.5000  4 Ba 3.02, 4 Mn 3.02, 2 Cu 3.32

* volume: 21.228 Å³ per atom
* M_tot: 4.1 μB per formula unit
* symmetry: P4/mmm (123)
* ΔH_f (0 K): 571 meV per atom
* calculated total energy: -4.251 eV per atom

Entry 4:
# Ba2MnCu

An optimized crystal structure of Ba2MnCu (PBE, Alexandria via LeMat-Bulk).

a b c (Å): 4.0180 4.0566 8.0148
angles (deg): 90.00 90.06 90.00
Last column: nearest neighbours and their distance in Å.
Element x y z (fractional)
Ba1 0.0004 0.0000 0.2419  4 Cu 3.45, 4 Mn 3.52-3.53
Ba2 0.9996 0.0000 0.7581  4 Cu 3.45, 4 Mn 3.52-3.53
Mn1 0.5000 0.5000 0.5000  8 Ba 3.52-3.53
Cu1 0.5000 0.5000 0.0000  8 Ba 3.45

* polymorph energy (0 for the lowest one): 100 meV/atom
* volume: 32.660 Å³ per atom
* M_tot: 3.4 μB per formula unit
* symmetry: P2/m (10)
* ΔH_f (0 K): 385 meV per atom
* calculated total energy: -3.893 eV per atom

Entry 5:
# Ba2MnCuN

An optimized crystal structure of Ba2MnCuN (PBE, Alexandria via LeMat-Bulk).

a b c (Å): 5.8229 5.8229 3.7257
angles (deg): 90.00 90.00 90.00
Last column: nearest neighbours and their distance in Å.
Element x y z (fractional)
Ba1 0.0000 0.5000 0.0000  2 N 2.91
Ba2 0.5000 0.0000 0.0000  2 N 2.91
Mn1 0.0000 0.0000 0.5000  2 N 1.86
Cu1 0.5000 0.5000 0.5000  8 Ba 3.46, 2 Cu 3.73
N1 0.0000 0.0000 0.0000  2 Mn 1.86

* ΔE_f (raw): -0.16 eV/atom
* volume: 25.265 Å³ per atom
* M_tot: 2.7 μB per formula unit
* symmetry: P4/mmm (123)
* calculated total energy: -5.250 eV per atom

Entry 6:
# Ba2NaMnCu

An optimized crystal structure of Ba2NaMnCu (PBE, Alexandria via LeMat-Bulk).

a b c (Å): 5.6571 5.6571 5.4264
angles (deg): 90.00 90.00 90.00
Last column: nearest neighbours and their distance in Å.
Element x y z (fractional)
Ba1 0.0000 0.5000 0.0000  2 Mn 2.83
Ba2 0.5000 0.0000 0.0000  2 Mn 2.83
Na1 0.0000 0.0000 0.5000  2 Mn 2.71
Mn1 0.0000 0.0000 0.0000  2 Na 2.71, 4 Ba 2.83
Cu1 0.5000 0.5000 0.5000  8 Ba 3.92, 4 Na 4.00

* volume: 34.731 Å³ per atom
* M_tot: 0.1 μB per formula unit
* symmetry: P4/mmm (123)
* ΔH_f (0 K): 905 meV per atom
* calculated total energy: -2.781 eV per atom